ZrAlFeAg (GGA-PBE, relaxed); electronic total energy = -23.32 eV for the cell shown; magnetization = 0.59 μB per atom; energy relative to the lowest polymorph listed for this composition = 122.6 meV/atom
1.0
0.000 3.238 3.238
3.238 0.000 3.238
3.238 3.238 0.000
Zr Al Ag Fe
1 1 1 1
Direct
0.250 0.250 0.250 Zr
0.000 0.000 0.000 Al
0.500 0.500 0.500 Ag
0.750 0.750 0.750 Fe

AlGaAg (GGA-PBE, relaxed); electronic total energy = -9.51 eV for the cell shown
1.0
1.962 -3.792 0.795
-2.058 -3.076 2.272
-1.371 -3.612 -1.983
Ga Ag Al
1 1 1
Direct
0.750 0.750 0.750 Ga
0.000 0.000 0.000 Ag
0.250 0.250 0.250 Al

AlGaAg (GGA-PBE, relaxed); electronic total energy = -9.41 eV for the cell shown
1.0
0.000 3.092 3.092
3.092 0.000 3.092
3.092 3.092 0.000
Ga Al Ag
1 1 1
Direct
0.750 0.750 0.750 Ga
0.000 0.000 0.000 Al
0.250 0.250 0.250 Ag

Al2Ga2Ag (GGA-PBE, relaxed); electronic total energy = -15.62 eV for the cell shown
1.0
2.702 -6.005 -0.961
1.480 -4.773 4.395
-4.659 4.287 -2.050
Ag Al Ga
1 2 2
Direct
0.000 0.000 0.000 Ag
0.604 0.604 0.000 Al
0.396 0.396 0.000 Al
0.250 0.750 0.500 Ga
0.750 0.250 0.500 Ga

AlGa2Ag2 (GGA-PBE, relaxed); electronic total energy = -14.64 eV for the cell shown
1.0
-6.090 1.946 2.284
-3.727 5.529 -1.274
3.688 -5.052 -2.639
Ag Ga Al
2 2 1
Direct
0.750 0.250 0.500 Ag
0.250 0.750 0.500 Ag
0.401 0.401 0.000 Ga
0.599 0.599 0.000 Ga
0.000 0.000 0.000 Al

Al2GaAg2 (GGA-PBE, relaxed); electronic total energy = -15.54 eV for the cell shown
1.0
-0.070 3.903 0.038
-1.698 -0.065 3.514
6.564 -1.843 0.969
Ag Al Ga
2 2 1
Direct
0.250 0.750 0.500 Ag
0.750 0.250 0.500 Ag
0.600 0.600 0.200 Al
0.400 0.400 0.800 Al
0.000 0.000 0.000 Ga

GdAlGaAg2 (GGA-PBE, relaxed); electronic total energy = -37.68 eV for the cell shown; magnetization = 0.00 μB per atom
1.0
4.278 0.000 0.000
0.000 4.278 0.000
0.000 0.000 11.090
Ag Al Ga Gd
4 2 2 2
Direct
0.500 0.000 0.634 Ag
0.000 0.000 0.000 Ag
0.500 0.500 0.000 Ag
0.000 0.500 0.366 Ag
0.500 0.500 0.500 Al
0.000 0.000 0.500 Al
0.500 0.000 0.860 Ga
0.000 0.500 0.140 Ga
0.000 0.500 0.753 Gd
0.500 0.000 0.247 Gd

LaAlGaAg2 (GGA-PBE, relaxed); electronic total energy = -38.46 eV for the cell shown; magnetization = 0.00 μB per atom
1.0
-1.497 4.065 1.265
-2.156 0.433 -3.941
-8.678 -4.517 4.250
Ga Al Ag La
2 2 4 2
Direct
0.500 0.500 0.500 Ga
0.000 0.000 0.500 Ga
0.500 0.000 0.872 Al
0.000 0.500 0.128 Al
0.500 0.000 0.633 Ag
0.000 0.000 0.000 Ag
0.000 0.500 0.367 Ag
0.500 0.500 0.000 Ag
0.000 0.500 0.743 La
0.500 0.000 0.257 La

Li4Al2GaAg (GGA-PBE, relaxed); electronic total energy = -23.25 eV for the cell shown
1.0
-2.497 3.298 1.497
0.228 -1.671 4.063
5.141 3.390 1.106
Li Al Ag Ga
4 2 1 1
Direct
0.000 0.000 0.500 Li
0.500 0.500 0.000 Li
0.000 0.500 0.250 Li
0.500 0.000 0.750 Li
0.000 0.500 0.749 Al
0.500 0.000 0.251 Al
0.500 0.500 0.500 Ag
0.000 0.000 0.000 Ga

Li4AlGa2Ag (GGA-PBE, relaxed); electronic total energy = -22.75 eV for the cell shown
1.0
-1.890 -3.819 1.021
1.842 -1.853 -3.518
5.038 -1.567 3.464
Li Al Ag Ga
4 1 1 2
Direct
0.500 0.500 0.000 Li
0.500 0.000 0.754 Li
0.000 0.500 0.246 Li
0.000 0.000 0.500 Li
0.500 0.500 0.500 Al
0.000 0.000 0.000 Ag
0.500 0.000 0.253 Ga
0.000 0.500 0.747 Ga

Li2Sc2AlGaAg2 (GGA-PBE, relaxed); electronic total energy = -31.71 eV for the cell shown; magnetization = 0.00 μB per atom
1.0
-0.213 3.706 2.672
-2.377 -2.374 3.103
5.519 -1.760 2.880
Sc Ga Ag Li Al
2 1 2 2 1
Direct
0.000 0.000 0.000 Sc
0.500 0.500 0.500 Sc
0.500 0.500 0.000 Ga
0.000 0.500 0.256 Ag
0.500 0.000 0.744 Ag
0.000 0.500 0.753 Li
0.500 0.000 0.247 Li
0.000 0.000 0.500 Al

NdAlGaAg2 (GGA-PBE, relaxed); electronic total energy = -38.13 eV for the cell shown; magnetization = 0.00 μB per atom
1.0
4.361 0.000 0.000
0.000 4.361 0.000
0.000 0.000 11.029
Ag Ga Al Nd
4 2 2 2
Direct
0.500 0.000 0.368 Ag
0.500 0.500 0.000 Ag
0.000 0.000 0.000 Ag
0.000 0.500 0.632 Ag
0.500 0.000 0.138 Ga
0.000 0.500 0.862 Ga
0.500 0.500 0.500 Al
0.000 0.000 0.500 Al
0.000 0.500 0.247 Nd
0.500 0.000 0.753 Nd